A plane-wave DFT calculation with PBE-GGA was carried out for a geometry-optimized Na4Np3CoN8 structure.

a = 12.108 Å, b = 6.473 Å, c = 6.721 Å
α = 90.00°, β = 122.77°, γ = 90.00°
Space group C2/m (No. 12)
Unique sites:
Na1 0.000 0.000 0.000 [2 per cell]
Na2 0.000 0.500 0.000 [2 per cell]
Na3 0.250 0.250 0.000 [4 per cell]
Np1 0.000 0.000 0.500 [2 per cell]
Np2 0.250 0.250 0.500 [4 per cell]
Co1 0.000 0.500 0.500 [2 per cell]
N1 0.028 0.252 0.330 [8 per cell]
N2 0.228 0.000 0.689 [4 per cell]
N3 0.235 0.000 0.287 [4 per cell]

Computed properties:
ρ	7.3	g/cm³
ΔE_f (raw)	-54	kJ/mol of atoms